*A*
# ScOsPb2, optimized geometry, DFT GGA-PBE
# space group: No. 10
# volume: 21.8 A^3/atom
data_ScOsPb2
_chemical_formula_sum 'Sc1 Os1 Pb2'
_cell_length_a 3.4612
_cell_length_b 5.2042
_cell_length_c 6.0030
_cell_angle_alpha 53.61
_cell_angle_beta 90.00
_cell_angle_gamma 90.00
_symmetry_space_group_name_H-M 'P 1'
_symmetry_Int_Tables_number 1
_symmetry_space_group_name_Hall 'P 1'
loop_
_atom_site_label
_atom_site_fract_x
_atom_site_fract_y
_atom_site_fract_z
Os1 0.0000 0.0000 0.5000
Pb1 0.0000 0.0000 0.0000
Pb2 0.5000 0.5000 0.0000
Sc1 0.5000 0.5000 0.5000

=====

*B*
# ScOsPb2, optimized geometry, DFT GGA-PBE
# space group: No. 47
# volume: 21.4 A^3/atom
data_ScOsPb2
_chemical_formula_sum 'Sc1 Os1 Pb2'
_cell_length_a 4.3615
_cell_length_b 4.5639
_cell_length_c 4.2906
_cell_angle_alpha 90.00
_cell_angle_beta 90.00
_cell_angle_gamma 90.00
_symmetry_space_group_name_H-M 'P 1'
_symmetry_Int_Tables_number 1
_symmetry_space_group_name_Hall 'P 1'
loop_
_atom_site_label
_atom_site_fract_x
_atom_site_fract_y
_atom_site_fract_z
Os1 0.0000 0.5000 0.5000
Pb1 0.0000 0.0000 0.0000
Pb2 0.5000 0.5000 0.0000
Sc1 0.5000 0.0000 0.5000

=====

Quick one: most stable of them? *B*

=====

*A*
# Sc3OsPb, optimized geometry, DFT GGA-PBE
# space group: No. 221
# volume: 25.5 A^3/atom
data_Sc3OsPb
_chemical_formula_sum 'Sc3 Os1 Pb1'
_cell_length_a 5.0343
_cell_length_b 5.0343
_cell_length_c 5.0343
_cell_angle_alpha 90.00
_cell_angle_beta 90.00
_cell_angle_gamma 90.00
_symmetry_space_group_name_H-M 'P 1'
_symmetry_Int_Tables_number 1
_symmetry_space_group_name_Hall 'P 1'
loop_
_atom_site_label
_atom_site_fract_x
_atom_site_fract_y
_atom_site_fract_z
Pb1 0.5000 0.5000 0.5000
Sc1 0.0000 0.5000 0.0000
Sc2 0.0000 0.0000 0.5000
Sc3 0.5000 0.0000 0.0000
Os1 0.0000 0.0000 0.0000

=====

*B*
# Sc3OsPb, optimized geometry, DFT GGA-PBE
# space group: No. 221
# volume: 28.4 A^3/atom
data_Sc3OsPb
_chemical_formula_sum 'Sc3 Os1 Pb1'
_cell_length_a 5.2197
_cell_length_b 5.2197
_cell_length_c 5.2197
_cell_angle_alpha 90.00
_cell_angle_beta 90.00
_cell_angle_gamma 90.00
_symmetry_space_group_name_H-M 'P 1'
_symmetry_Int_Tables_number 1
_symmetry_space_group_name_Hall 'P 1'
loop_
_atom_site_label
_atom_site_fract_x
_atom_site_fract_y
_atom_site_fract_z
Pb1 0.0000 0.0000 0.0000
Sc1 0.0000 0.5000 0.0000
Sc2 0.0000 0.0000 0.5000
Sc3 0.5000 0.0000 0.0000
Os1 0.5000 0.5000 0.5000

=====

Quick one: most stable of them? *A*

=====

*A*
# Sc2OsPbSe, optimized geometry, DFT GGA-PBE
# space group: No. 123
# volume: 30.7 A^3/atom
data_Sc2OsPbSe
_chemical_formula_sum 'Sc2 Os1 Pb1 Se1'
_cell_length_a 5.4186
_cell_length_b 5.2204
_cell_length_c 5.4186
_cell_angle_alpha 90.00
_cell_angle_beta 90.00
_cell_angle_gamma 90.00
_symmetry_space_group_name_H-M 'P 1'
_symmetry_Int_Tables_number 1
_symmetry_space_group_name_Hall 'P 1'
loop_
_atom_site_label
_atom_site_fract_x
_atom_site_fract_y
_atom_site_fract_z
Pb1 0.0000 0.0000 0.0000
Sc1 0.0000 0.0000 0.5000
Sc2 0.5000 0.0000 0.0000
Os1 0.5000 0.5000 0.5000
Se1 0.0000 0.5000 0.0000

=====

*B*
# Sc2OsPbSe, optimized geometry, DFT GGA-PBE
# space group: No. 123
# volume: 24.9 A^3/atom
data_Sc2OsPbSe
_chemical_formula_sum 'Sc2 Os1 Pb1 Se1'
_cell_length_a 5.1994
_cell_length_b 4.6009
_cell_length_c 5.1994
_cell_angle_alpha 90.00
_cell_angle_beta 90.00
_cell_angle_gamma 90.00
_symmetry_space_group_name_H-M 'P 1'
_symmetry_Int_Tables_number 1
_symmetry_space_group_name_Hall 'P 1'
loop_
_atom_site_label
_atom_site_fract_x
_atom_site_fract_y
_atom_site_fract_z
Pb1 0.5000 0.5000 0.5000
Sc1 0.0000 0.0000 0.5000
Sc2 0.5000 0.0000 0.0000
Os1 0.0000 0.0000 0.0000
Se1 0.0000 0.5000 0.0000

=====

Quick one: most stable of them? *B*